Cu3PF: relaxed, PBE.

Results
DOS at the Fermi energy	9.1	states/eV/cell
energy relative to the elements, uncorrected	-6	kJ per mole of atoms
SG	Pm-3m, No. 221
total magnetic moment	0.0	μB per formula unit
E above lowest polymorph	0.0000	eV per atom

a = 4.3347 Å, b = 4.3347 Å, c = 4.3347 Å
α = 90.00°, β = 90.00°, γ = 90.00°
Closest atoms and distances in Å follow each position.
Positions (direct):
Cu: 0.0000 0.0000 0.5000  2 P 2.17
Cu: 0.0000 0.5000 0.0000  2 P 2.17
Cu: 0.5000 0.0000 0.0000  2 P 2.17
P: 0.0000 0.0000 0.0000  6 Cu 2.17
F: 0.5000 0.5000 0.5000  12 Cu 3.07

=====

CuPF3: relaxed, PBE.

Results
DOS at the Fermi energy	2.4	states/eV/cell
energy relative to the elements, uncorrected	-67	kJ per mole of atoms
SG	Pm-3m, No. 221
total magnetic moment	0.6	μB per formula unit
E above lowest polymorph	0.0000	eV per atom

a = 4.1346 Å, b = 4.1346 Å, c = 4.1346 Å
α = 90.00°, β = 90.00°, γ = 90.00°
Closest atoms and distances in Å follow each position.
Positions (direct):
Cu: 0.0000 0.0000 0.0000  12 F 2.92
P: 0.5000 0.5000 0.5000  6 F 2.07
F: 0.0000 0.5000 0.5000  2 P 2.07
F: 0.5000 0.0000 0.5000  2 P 2.07
F: 0.5000 0.5000 0.0000  2 P 2.07

=====

CuP2F: relaxed, PBE.

Results
DOS at the Fermi energy	0.3	states/eV/cell
energy relative to the elements, uncorrected	1	kJ per mole of atoms
SG	Fm-3m, No. 225
total magnetic moment	0.0	μB per formula unit
E above lowest polymorph	0.0000	eV per atom

a = 4.1239 Å, b = 4.1239 Å, c = 4.1239 Å
α = 60.00°, β = 60.00°, γ = 60.00°
Closest atoms and distances in Å follow each position.
Positions (direct):
Cu: 0.0000 0.0000 0.0000  8 P 2.53
P: 0.2500 0.2500 0.2500  4 F 2.53, 4 Cu 2.53
P: 0.7500 0.7500 0.7500  4 F 2.53, 4 Cu 2.53
F: 0.5000 0.5000 0.5000  8 P 2.53

=====

Rb2CuPF6: relaxed, PBE.

Results
DOS at the Fermi energy	0.0	states/eV/cell
energy relative to the elements, uncorrected	-200	kJ per mole of atoms
SG	I4/mmm, No. 139
total magnetic moment	0.0	μB per formula unit

a = 6.0734 Å, b = 6.0734 Å, c = 6.0734 Å
α = 116.59°, β = 116.59°, γ = 96.01°
Closest atoms and distances in Å follow each position.
Positions (direct):
Rb: 0.2500 0.7500 0.5000  12 F 3.05-3.19
Rb: 0.7500 0.2500 0.5000  12 F 3.05-3.19
Cu: 0.0000 0.0000 0.0000  2 F 1.93
P: 0.5000 0.5000 0.0000  6 F 1.94-2.14
F: 0.2373 0.2373 0.0000  1 Cu 1.93, 1 P 2.14
F: 0.2852 0.2852 0.5704  1 P 1.94
F: 0.2852 0.7148 0.0000  1 P 1.94
F: 0.7148 0.2852 0.0000  1 P 1.94
F: 0.7148 0.7148 0.4296  1 P 1.94
F: 0.7627 0.7627 0.0000  1 Cu 1.93, 1 P 2.14